Record 1
Entry from the Alexandria database: KBaSb2 after structural relaxation (PBE).

Output
Excess energy over the best structure of this formula in the dataset: 311.6 meV/atom
Density: 4.631 Mg/m³
Space-group type: No. 122
D(E_F): 1.43 states/eV/atom

Unit cell a=7.506 b=7.506 c=7.506 alpha=101.32 beta=101.32 gamma=127.39
Sites, in units of the cell vectors:
K1 0.000 0.000 0.000
K2 0.750 0.250 0.500
Ba1 0.250 0.750 0.500
Ba2 0.500 0.500 0.000
Sb1 0.120 0.625 0.995
Sb2 0.375 0.370 0.495
Sb3 0.630 0.125 0.005
Sb4 0.875 0.880 0.505

---

Record 2
Entry from the Alexandria database: Ba4HoPb3O12 after structural relaxation (PBE).

Output
Density: 7.628 Mg/m³
Space-group type: No. 229
D(E_F): 0.89 states/eV/atom

Unit cell a=7.560 b=7.560 c=7.560 alpha=109.47 beta=109.47 gamma=109.47
Sites, in units of the cell vectors:
Ba1 0.000 0.000 0.500
Ba2 0.000 0.500 0.000
Ba3 0.500 0.000 0.000
Ba4 0.500 0.500 0.500
Ho1 0.000 0.000 0.000
Pb1 0.000 0.500 0.500
Pb2 0.500 0.000 0.500
Pb3 0.500 0.500 0.000
O1 0.000 0.254 0.254
O2 0.000 0.746 0.746
O3 0.250 0.500 0.750
O4 0.250 0.750 0.500
O5 0.254 0.000 0.254
O6 0.254 0.254 0.000
O7 0.500 0.250 0.750
O8 0.500 0.750 0.250
O9 0.746 0.000 0.746
O10 0.746 0.746 0.000
O11 0.750 0.250 0.500
O12 0.750 0.500 0.250

---

Record 3
Entry from the Alexandria database: Er2Si7Au12 after structural relaxation (PBE).

Output
Density: 12.430 Mg/m³
Space-group type: No. 147
D(E_F): 0.30 states/eV/atom

Unit cell a=10.190 b=10.190 c=4.301 alpha=90.00 beta=90.00 gamma=120.00
Sites, in units of the cell vectors:
Er1 0.333 0.667 0.255
Er2 0.667 0.333 0.745
Si1 0.000 0.000 0.000
Si2 0.113 0.396 0.780
Si3 0.283 0.887 0.780
Si4 0.396 0.283 0.220
Si5 0.604 0.717 0.780
Si6 0.717 0.113 0.220
Si7 0.887 0.604 0.220
Au1 0.081 0.615 0.742
Au2 0.126 0.859 0.282
Au3 0.141 0.267 0.282
Au4 0.267 0.126 0.718
Au5 0.385 0.466 0.742
Au6 0.466 0.081 0.258
Au7 0.534 0.919 0.742
Au8 0.615 0.534 0.258
Au9 0.733 0.874 0.282
Au10 0.859 0.733 0.718
Au11 0.874 0.141 0.718
Au12 0.919 0.385 0.258

---

Record 4
Entry from the Alexandria database: Dy3CrB7 after structural relaxation (PBE).

Output
Density: 8.018 Mg/m³
Space-group type: No. 63
Calculated formation energy: -0.60 eV per atom
D(E_F): 0.37 states/eV/atom

Unit cell a=8.100 b=8.100 c=9.353 alpha=90.00 beta=90.00 gamma=155.47
Sites, in units of the cell vectors:
Dy1 0.105 0.895 0.560
Dy2 0.105 0.895 0.940
Dy3 0.241 0.759 0.250
Dy4 0.759 0.241 0.750
Dy5 0.895 0.105 0.060
Dy6 0.895 0.105 0.440
Cr1 0.054 0.946 0.250
Cr2 0.946 0.054 0.750
B1 0.273 0.727 0.532
B2 0.273 0.727 0.968
B3 0.369 0.631 0.651
B4 0.369 0.631 0.849
B5 0.460 0.540 0.250
B6 0.479 0.521 0.597
B7 0.479 0.521 0.903
B8 0.521 0.479 0.097
B9 0.521 0.479 0.403
B10 0.540 0.460 0.750
B11 0.631 0.369 0.151
B12 0.631 0.369 0.349
B13 0.727 0.273 0.032
B14 0.727 0.273 0.468

---

Record 5
Entry from the Alexandria database: BaPbO3 after structural relaxation (PBE).

Output
Density: 7.677 Mg/m³
Space-group type: No. 15

Unit cell a=6.194 b=6.194 c=15.370 alpha=91.14 beta=91.14 gamma=120.16
Sites, in units of the cell vectors:
Ba1 0.006 0.994 0.750
Ba2 0.337 0.654 0.894
Ba3 0.346 0.663 0.606
Ba4 0.654 0.337 0.394
Ba5 0.663 0.346 0.106
Ba6 0.994 0.006 0.250
Pb1 0.000 0.000 0.000
Pb2 0.000 0.000 0.500
Pb3 0.314 0.657 0.349
Pb4 0.343 0.686 0.151
Pb5 0.657 0.314 0.849
Pb6 0.686 0.343 0.651
O1 0.021 0.502 0.236
O2 0.077 0.290 0.403
O3 0.079 0.803 0.398
O4 0.197 0.921 0.102
O5 0.213 0.402 0.047
O6 0.290 0.077 0.903
O7 0.402 0.213 0.547
O8 0.490 0.510 0.250
O9 0.498 0.979 0.264
O10 0.502 0.021 0.736
O11 0.510 0.490 0.750
O12 0.598 0.787 0.453
O13 0.710 0.923 0.097
O14 0.787 0.598 0.953
O15 0.803 0.079 0.898
O16 0.921 0.197 0.602
O17 0.923 0.710 0.597
O18 0.979 0.498 0.764

---

Record 6
Entry from the Alexandria database: ZrSiSe2 after structural relaxation (PBE).

Output
Density: 6.087 Mg/m³
Space-group type: No. 71
D(E_F): 0.22 states/eV/atom

Unit cell a=5.205 b=5.205 c=5.205 alpha=138.41 beta=124.47 gamma=71.71
Sites, in units of the cell vectors:
Zr1 0.000 0.000 0.000
Si1 0.500 0.500 0.000
Se1 0.297 0.797 0.500
Se2 0.703 0.203 0.500

---

| no. | magnetic moment (μB/cell) | total DFT energy (no corrections) (eV per atom) |
| --- | --- | --- |
| 1 | 0.0 | -3.152 |
| 2 | 0.0 | -6.100 |
| 3 | 0.0 | -4.319 |
| 4 | 1.7 | -6.974 |
| 5 | 0.0 | -5.772 |
| 6 | 0.0 | -5.713 |